# 1
A PBEsol-optimized structure of La2TeSe, computed with SCAN. Values from VASP.

Results
Its energy above the most stable polymorph in this dataset is 0 meV per atom. For the total magnetic moment, the calculation gives 0.00 μB/f.u. The calculation puts the theoretical density at 6.74 g/cm3. As for the symmetry: No. 166. The value obtained for the formation energy from raw total energies is -1.984 eV/atom.

```
&SYSTEM
  ibrav = 0, nat = 12, ntyp = 3
/
ATOMIC_SPECIES
La 138.91 La.upf
Te 127.60 Te.upf
Se 78.96 Se.upf
CELL_PARAMETERS angstrom
4.362 0.000 0.000
-2.181 3.778 0.000
0.000 0.000 21.733
ATOMIC_POSITIONS crystal
La 0.000 0.000 0.241
La 0.000 0.000 0.759
La 0.333 0.667 0.426
La 0.333 0.667 0.908
La 0.667 0.333 0.092
La 0.667 0.333 0.574
Te 0.000 0.000 0.000
Te 0.333 0.667 0.667
Te 0.667 0.333 0.333
Se 0.000 0.000 0.500
Se 0.333 0.667 0.167
Se 0.667 0.333 0.833
```

# 2
A PBEsol-optimized structure of LaTeSe2, computed with SCAN. Values from VASP.

Results
For the total magnetic moment, the calculation gives 0.93 μB/f.u. The calculation puts the theoretical density at 5.02 g/cm3. As for the symmetry: No. 166. The value obtained for the formation energy from raw total energies is -1.153 eV/atom.

```
&SYSTEM
  ibrav = 0, nat = 12, ntyp = 3
/
ATOMIC_SPECIES
La 138.91 La.upf
Te 127.60 Te.upf
Se 78.96 Se.upf
CELL_PARAMETERS angstrom
4.337 0.000 0.000
-2.169 3.756 0.000
0.000 0.000 25.847
ATOMIC_POSITIONS crystal
La 0.000 0.000 0.000
La 0.333 0.667 0.667
La 0.667 0.333 0.333
Te 0.000 0.000 0.500
Te 0.333 0.667 0.167
Te 0.667 0.333 0.833
Se 0.000 0.000 0.394
Se 0.000 0.000 0.606
Se 0.333 0.667 0.061
Se 0.333 0.667 0.272
Se 0.667 0.333 0.728
Se 0.667 0.333 0.939
```

# 3
A PBEsol-optimized structure of La2TeSe, computed with SCAN. Values from VASP.

Results
Its energy above the most stable polymorph in this dataset is 51 meV per atom. For the total magnetic moment, the calculation gives 0.00 μB/f.u. The calculation puts the theoretical density at 6.70 g/cm3. As for the symmetry: No. 123. The value obtained for the formation energy from raw total energies is -1.933 eV/atom.

```
&SYSTEM
  ibrav = 0, nat = 4, ntyp = 3
/
ATOMIC_SPECIES
La 138.91 La.upf
Te 127.60 Te.upf
Se 78.96 Se.upf
CELL_PARAMETERS angstrom
4.393 0.000 0.000
0.000 4.393 0.000
0.000 0.000 6.224
ATOMIC_POSITIONS crystal
La 0.000 0.000 0.000
La 0.500 0.500 0.500
Te 0.000 0.000 0.500
Se 0.500 0.500 0.000
```

# 4
A PBEsol-optimized structure of La2TeSe, computed with SCAN. Values from VASP.

Results
Its energy above the most stable polymorph in this dataset is 25 meV per atom. For the total magnetic moment, the calculation gives 0.00 μB/f.u. The calculation puts the theoretical density at 6.70 g/cm3. As for the symmetry: No. 160. The value obtained for the formation energy from raw total energies is -1.959 eV/atom.

```
&SYSTEM
  ibrav = 0, nat = 12, ntyp = 3
/
ATOMIC_SPECIES
La 138.91 La.upf
Te 127.60 Te.upf
Se 78.96 Se.upf
CELL_PARAMETERS angstrom
4.270 0.000 0.000
-2.135 3.698 0.000
0.000 0.000 22.803
ATOMIC_POSITIONS crystal
La 0.000 0.000 0.000
La 0.000 0.000 0.186
La 0.333 0.667 0.667
La 0.333 0.667 0.853
La 0.667 0.333 0.333
La 0.667 0.333 0.520
Te 0.000 0.000 0.426
Te 0.333 0.667 0.093
Te 0.667 0.333 0.759
Se 0.000 0.000 0.594
Se 0.333 0.667 0.261
Se 0.667 0.333 0.928
```

# 5
A PBEsol-optimized structure of La2TeSe, computed with SCAN. Values from VASP.

Results
Its energy above the most stable polymorph in this dataset is 219 meV per atom. For the total magnetic moment, the calculation gives 0.00 μB/f.u. The calculation puts the theoretical density at 6.87 g/cm3. As for the symmetry: No. 38. The value obtained for the formation energy from raw total energies is -1.766 eV/atom.

```
&SYSTEM
  ibrav = 0, nat = 8, ntyp = 3
/
ATOMIC_SPECIES
La 138.91 La.upf
Te 127.60 Te.upf
Se 78.96 Se.upf
CELL_PARAMETERS angstrom
4.654 0.000 0.000
0.000 4.087 0.000
0.000 0.000 12.314
ATOMIC_POSITIONS crystal
La 0.000 0.000 0.000
La 0.000 0.500 0.500
La 0.500 0.000 0.271
La 0.500 0.500 0.771
Te 0.000 0.000 0.737
Te 0.000 0.500 0.237
Se 0.500 0.000 0.511
Se 0.500 0.500 0.011
```

# 6
A PBEsol-optimized structure of LaTeSe2, computed with SCAN. Values from VASP.

Results
For the total magnetic moment, the calculation gives 0.00 μB/f.u. The calculation puts the theoretical density at 6.53 g/cm3. As for the symmetry: No. 99. The value obtained for the formation energy from raw total energies is -1.084 eV/atom.

```
&SYSTEM
  ibrav = 0, nat = 4, ntyp = 3
/
ATOMIC_SPECIES
La 138.91 La.upf
Te 127.60 Te.upf
Se 78.96 Se.upf
CELL_PARAMETERS angstrom
4.187 0.000 0.000
0.000 4.187 0.000
0.000 0.000 6.155
ATOMIC_POSITIONS crystal
La 0.000 0.000 0.000
Te 0.500 0.500 0.610
Se 0.000 0.000 0.529
Se 0.500 0.500 0.133
```